Record 1
A plane-wave DFT calculation with PBE-GGA was carried out for a geometry-optimized AcY2Au structure.

Unit cell a=5.5106 b=5.5106 c=3.8468 alpha=90.00 beta=90.00 gamma=90.00
Closest atoms and distances in Å follow each position.
Space group P4/mmm (No. 123)
Symmetry-distinct sites (fractional):
Ac  0.0000  0.0000  0.0000 x1  8 Y 3.36
Y  0.0000  0.5000  0.5000 x2  4 Ac 3.36, 4 Au 3.36
Au  0.5000  0.5000  0.0000 x1  8 Y 3.36

Results
formation energy = -0.084 eV per atom
volume = 116.8 Å³/cell
N(E_F) = 6.20 states/eV/f.u.


Record 2
A plane-wave DFT calculation with PBE-GGA was carried out for a geometry-optimized Ac2Y3Au4 structure.

Unit cell a=7.9447 b=7.8432 c=8.6621 alpha=90.00 beta=110.75 gamma=90.00
Closest atoms and distances in Å follow each position.
Space group P2_1/c (No. 14)
Symmetry-distinct sites (fractional):
Ac  0.1946  0.1706  0.0901 x4  5 Au 3.24-3.43
Y  0.2477  0.6509  0.2504 x4  6 Au 3.00-3.11
Y  0.5000  0.0000  0.5000 x2  4 Au 3.01-3.07
Au  0.0987  0.5505  0.8800 x4  4 Y 3.01-3.10, 1 Au 3.12, 2 Ac 3.27-3.35
Au  0.4839  0.6353  0.6228 x4  4 Y 3.00-3.11, 1 Au 3.08, 2 Ac 3.24-3.26

Results
formation energy = -0.760 eV per atom
volume = 504.7 Å³/cell
N(E_F) = 8.71 states/eV/f.u.


Record 3
A plane-wave DFT calculation with PBE-GGA was carried out for a geometry-optimized AcY2Au structure.

Unit cell a=3.6979 b=3.6979 c=8.9233 alpha=90.00 beta=90.00 gamma=90.00
Closest atoms and distances in Å follow each position.
Space group P4/mmm (No. 123)
Symmetry-distinct sites (fractional):
Ac  0.0000  0.0000  0.0000 x1  4 Ac 3.70, 8 Y 3.80
Y  0.5000  0.5000  0.3088 x2  4 Au 3.12, 1 Y 3.41
Au  0.0000  0.0000  0.5000 x1  8 Y 3.12

Results
formation energy = -0.385 eV per atom
volume = 122.0 Å³/cell
N(E_F) = 4.93 states/eV/f.u.


Record 4
A plane-wave DFT calculation with PBE-GGA was carried out for a geometry-optimized AcYAu4 structure.

Unit cell a=4.7851 b=8.3015 c=7.3688 alpha=90.00 beta=90.10 gamma=90.00
Closest atoms and distances in Å follow each position.
Space group C2/m (No. 12)
Symmetry-distinct sites (fractional):
Ac  0.0000  0.0000  0.0000 x2  12 Au 3.45-3.46, 2 Y 3.68
Y  0.0000  0.0000  0.5000 x2  12 Au 3.20
Au  0.9997  0.3336  0.2817 x8  3 Au 2.76-2.77

Results
formation energy = -0.799 eV per atom
volume = 292.7 Å³/cell
N(E_F) = 4.35 states/eV/f.u.


Record 5
A plane-wave DFT calculation with PBE-GGA was carried out for a geometry-optimized AcY2Au structure.

Unit cell a=3.9247 b=3.9247 c=30.0104 alpha=90.00 beta=90.00 gamma=120.00
Closest atoms and distances in Å follow each position.
Space group R3m (No. 160, hexagonal axes)
Symmetry-distinct sites (fractional):
Ac  0.0000  0.0000  0.0000 x3  6 Y 3.80-3.91, 6 Ac 3.92
Y  0.0000  0.0000  0.2317 x3  3 Au 2.94
Y  0.0000  0.0000  0.4396 x3  3 Au 2.96
Au  0.0000  0.0000  0.8362 x3  6 Y 2.94-2.96

Results
formation energy = -0.296 eV per atom
volume = 400.3 Å³/cell
N(E_F) = 4.87 states/eV/f.u.


Record 6
A plane-wave DFT calculation with PBE-GGA was carried out for a geometry-optimized AcY2Au6 structure.

Unit cell a=15.1423 b=7.7355 c=3.8397 alpha=90.00 beta=104.61 gamma=90.00
Closest atoms and distances in Å follow each position.
Space group C2/m (No. 12)
Symmetry-distinct sites (fractional):
Ac  0.0000  0.0000  0.0000 x2  4 Au 3.15
Y  0.1415  0.5000  0.1395 x4  10 Au 3.02-3.15
Au  0.0000  0.3222  0.5000 x4  3 Au 2.75-2.81
Au  0.1790  0.1927  0.6782 x8  4 Au 2.81-2.98, 3 Y 3.02-3.11

Results
formation energy = -0.754 eV per atom
volume = 435.2 Å³/cell
N(E_F) = 4.88 states/eV/f.u.